[1]
A relaxed structure of TlPS2Br. Source: the Alexandria database, functional PBE-GGA.

Structure (extended XYZ):
```
5
Lattice="5.0441 0.0000 0.0000 0.0000 5.0441 0.0000 0.0000 0.0000 5.5108" Properties=species:S:1:pos:R:3 pbc="T T T"
P 0.0000 0.0000 2.7554
Tl 0.0000 0.0000 0.0000
S 0.0000 2.5220 0.0000
S 2.5220 0.0000 0.0000
Br 2.5220 2.5220 2.7554
```

Output
- energy relative to the elements, uncorrected (meV per atom) = 1129
- calculated volume (Å³/f.u.) = 140.2
- ρ (g/cm³) = 4.5
- symmetry = P4/mmm
- magnetization (μB per formula unit) = 0.03
- distance to the lowest polymorph of the same formula (meV/atom) = 204


[2]
A relaxed structure of TlPS2Br. Source: the Alexandria database, functional PBE-GGA.

Structure (extended XYZ):
```
5
Lattice="-2.7529 -3.2778 -2.5815 4.1131 -1.6128 -2.3384 0.7097 -3.4570 3.6326" Properties=species:S:1:pos:R:3 pbc="T T T"
P 0.3549 -1.7285 1.8163
Tl 1.0349 -4.1738 -0.6436
S 2.0566 -0.8064 -1.1692
S -1.3765 -1.6389 -1.2907
Br 0.0000 0.0000 0.0000
```

Output
- energy relative to the elements, uncorrected (meV per atom) = 925
- calculated volume (Å³/f.u.) = 126.5
- ρ (g/cm³) = 5.0
- symmetry = P4/mmm
- magnetization (μB per formula unit) = 0.81
- distance to the lowest polymorph of the same formula (meV/atom) = 0